A geometry-optimized NaNbFe2 structure. Source: Alexandria, functional PBE.

Cell lengths 5.635, 5.635, 5.635 Å; angles 103.89, 103.89, 121.32 degrees
Fractional coordinates of all 8 atoms:
Na 0.000 0.000 0.000
Na 0.750 0.250 0.500
Nb 0.250 0.750 0.500
Nb 0.500 0.500 0.000
Fe 0.146 0.625 0.021
Fe 0.375 0.396 0.521
Fe 0.604 0.125 0.979
Fe 0.875 0.854 0.479

Computed properties:
**Symmetry**: I-42d
**Crystal system**: tetragonal
**Total DFT energy (no corrections)**: -6.081 eV/atom